Entry 1:
DFT (PBE-GGA) results for an optimized crystal structure of Er3GaRh2.

Cell: 3.448 3.448 10.381 Å, 90.00 90.00 90.00°
Fractional coordinates of all 6 atoms:
Er (0.000, 0.000, 0.000)
Rh (0.500, 0.500, 0.836)
Er (0.000, 0.000, 0.681)
Rh (0.500, 0.500, 0.164)
Er (0.000, 0.000, 0.319)
Ga (0.500, 0.500, 0.500)

Output
Fermi-level density of states   3.363 states/eV/f.u.
Space-group type   P4/mmm
E   -6.058 eV/atom

=====

Entry 2:
DFT (PBE-GGA) results for an optimized crystal structure of PuPaSi4.

Cell: 4.074 5.612 5.612 Å, 87.97 68.72 68.72°
Site moments in Bohr magnetons follow the coordinates.
Fractional coordinates of all 6 atoms:
Pu (0.500, 0.500, 0.500)  5.02
Si (0.167, 0.581, 0.085)  -0.03
Si (0.167, 0.085, 0.581)  -0.03
Si (0.833, 0.915, 0.419)  -0.03
Si (0.833, 0.419, 0.915)  -0.03
Pa (0.500, 0.000, 0.000)  -0.34

Output
Fermi-level density of states   9.437 states/eV/f.u.
Formation energy from raw total energies   -0.50 eV per atom
Space-group type   Immm
E above lowest polymorph   0 meV per atom
E   -8.091 eV/atom

=====

Entry 3:
DFT (PBE-GGA) results for an optimized crystal structure of FeBiAsBr2.

Cell: 4.915 4.915 4.722 Å, 90.00 90.00 90.00°
Fractional coordinates of all 5 atoms:
Bi (0.500, 0.500, 0.500)
Fe (0.000, 0.000, 0.000)
As (0.000, 0.000, 0.500)
Br (0.000, 0.500, 0.000)
Br (0.500, 0.000, 0.000)

Output
Fermi-level density of states   6.733 states/eV/f.u.
Formation energy from raw total energies   0.32 eV per atom
Space-group type   P4/mmm
E above lowest polymorph   0 meV per atom
E   -3.745 eV/atom

=====

In Å³/cell, the calculated volume values for the records above are, in order, 123, 111, 114.